# 1
# AcTbPr2Sm4

A relaxed structure of AcTbPr2Sm4 (GGA-PBE, Alexandria).

Output
Spin magnetization   0.0001 μB/atom
Calculated formation energy   388 meV/atom
Calculated volume   36.17 Å³ per atom
Uncorrected energy   -68.1 eV for the cell shown

Cell: 9.753 9.753 7.035 Å, 111.05 111.05 88.52°
Fractional coordinates of all 16 atoms:
Ac1 0.000 0.500 0.000
Ac2 0.500 0.000 0.500
Tb1 0.000 0.000 0.000
Tb2 0.000 0.000 0.500
Pr1 0.000 0.500 0.500
Pr2 0.500 0.000 0.000
Pr3 0.500 0.500 0.000
Pr4 0.500 0.500 0.500
Sm1 0.238 0.253 0.479
Sm2 0.244 0.755 0.514
Sm3 0.245 0.756 0.986
Sm4 0.253 0.238 0.979
Sm5 0.747 0.762 0.021
Sm6 0.755 0.244 0.014
Sm7 0.756 0.245 0.486
Sm8 0.762 0.747 0.521


# 2
# AcTbPr3Sm

A relaxed structure of AcTbPr3Sm (GGA-PBE, Alexandria).

Output
Spin magnetization   0.0000 μB/atom
Calculated formation energy   203 meV/atom
Calculated volume   37.04 Å³ per atom
Uncorrected energy   -53.2 eV for the cell shown

Cell: 10.922 10.922 7.116 Å, 91.24 91.24 31.58°
Fractional coordinates of all 12 atoms:
Ac1 0.148 0.148 0.040
Ac2 0.852 0.852 0.960
Tb1 0.443 0.443 0.712
Tb2 0.557 0.557 0.288
Pr1 0.017 0.017 0.747
Pr2 0.281 0.281 0.720
Pr3 0.342 0.342 0.247
Pr4 0.658 0.658 0.753
Pr5 0.719 0.719 0.280
Pr6 0.983 0.983 0.253
Sm1 0.141 0.141 0.495
Sm2 0.859 0.859 0.505


# 3
# AcTb2Pr4Sm

A relaxed structure of AcTb2Pr4Sm (GGA-PBE, Alexandria).

Output
Spin magnetization   0.0000 μB/atom
Calculated formation energy   29 meV/atom
Calculated volume   35.89 Å³ per atom
Uncorrected energy   -37.0 eV for the cell shown

Cell: 6.405 6.405 10.509 Å, 114.26 114.26 48.24°
Fractional coordinates of all 8 atoms:
Ac1 0.000 0.000 0.000
Tb1 0.499 0.499 0.256
Tb2 0.501 0.501 0.744
Pr1 0.247 0.247 0.870
Pr2 0.251 0.251 0.378
Pr3 0.749 0.749 0.622
Pr4 0.753 0.753 0.130
Sm1 0.000 0.000 0.500


# 4
# AcTb2PrSm4

A relaxed structure of AcTb2PrSm4 (GGA-PBE, Alexandria).

Output
Spin magnetization   0.0001 μB/atom
Calculated formation energy   402 meV/atom
Calculated volume   35.67 Å³ per atom
Uncorrected energy   -67.6 eV for the cell shown

Cell: 9.689 9.689 7.026 Å, 111.05 111.05 88.28°
Fractional coordinates of all 16 atoms:
Ac1 0.000 0.500 0.000
Ac2 0.500 0.000 0.500
Tb1 0.000 0.000 0.000
Tb2 0.000 0.000 0.500
Tb3 0.000 0.500 0.500
Tb4 0.500 0.000 0.000
Pr1 0.500 0.500 0.000
Pr2 0.500 0.500 0.500
Sm1 0.236 0.256 0.454
Sm2 0.245 0.754 0.514
Sm3 0.246 0.755 0.986
Sm4 0.256 0.236 0.954
Sm5 0.744 0.764 0.046
Sm6 0.754 0.245 0.014
Sm7 0.755 0.246 0.486
Sm8 0.764 0.744 0.546


# 5
# AcPrSmTe3

A relaxed structure of AcPrSmTe3 (GGA-PBE, Alexandria).

Output
Spin magnetization   0.1382 μB/atom
Formation energy without anion corrections   -1.325 eV/atom
Calculated volume   35.71 Å³ per atom
Uncorrected energy   -62.0 eV for the cell shown

Cell: 8.904 4.468 11.250 Å, 90.00 106.77 90.00°
Fractional coordinates of all 12 atoms:
Ac1 0.191 0.250 0.218
Ac2 0.809 0.750 0.782
Pr1 0.152 0.250 0.622
Pr2 0.848 0.750 0.378
Sm1 0.342 0.750 0.902
Sm2 0.658 0.250 0.098
Te1 0.096 0.250 0.896
Te2 0.230 0.750 0.448
Te3 0.476 0.750 0.197
Te4 0.524 0.250 0.803
Te5 0.770 0.250 0.552
Te6 0.904 0.750 0.104


# 6
# AcPr4Sm3Te8

A relaxed structure of AcPr4Sm3Te8 (GGA-PBE, Alexandria).

Output
Spin magnetization   0.0000 μB/atom
Formation energy without anion corrections   -1.413 eV/atom
Calculated volume   32.83 Å³ per atom
Uncorrected energy   -85.1 eV for the cell shown

Cell: 9.063 9.063 9.063 Å, 59.91 59.91 59.91°
Fractional coordinates of all 16 atoms:
Ac1 0.000 0.000 0.000
Pr1 0.000 0.000 0.500
Pr2 0.000 0.500 0.000
Pr3 0.500 0.000 0.000
Pr4 0.500 0.500 0.500
Sm1 0.000 0.500 0.500
Sm2 0.500 0.000 0.500
Sm3 0.500 0.500 0.000
Te1 0.252 0.252 0.252
Te2 0.254 0.254 0.741
Te3 0.254 0.741 0.254
Te4 0.259 0.746 0.746
Te5 0.741 0.254 0.254
Te6 0.746 0.259 0.746
Te7 0.746 0.746 0.259
Te8 0.748 0.748 0.748